1.
VASP calculation (PBE) on an optimized crystal structure of KTcW.

Cell and atoms, written as POSCAR:
```
KTcW
1.0
3.156 0.000 0.000
0.000 3.156 0.000
0.000 0.000 14.336
K Tc W
2 2 2
Direct
0.000 0.000 0.000
0.500 0.500 0.500
0.000 0.000 0.701
0.500 0.500 0.201
0.000 0.000 0.284
0.500 0.500 0.784
```

## Properties
- Space-group type: I4mm, No. 107
- Formation energy from the elements: 927 meV/atom

=====

2.
VASP calculation (PBE) on an optimized crystal structure of K2TcW.

Cell and atoms, written as POSCAR:
```
K2TcW
1.0
6.739 0.000 0.000
0.000 3.239 0.000
-0.966 0.000 11.456
K Tc W
4 2 2
Direct
0.000 0.000 0.000
0.245 0.000 0.627
0.500 0.500 0.000
0.745 0.500 0.627
0.485 0.000 0.379
0.985 0.500 0.379
0.266 0.500 0.268
0.766 0.000 0.268
```

## Properties
- Space-group type: Cm, No. 8
- Formation energy from the elements: 936 meV/atom

=====

3.
VASP calculation (PBE) on an optimized crystal structure of KTc2W.

Cell and atoms, written as POSCAR:
```
KTc2W
1.0
9.521 0.000 0.000
0.000 2.992 0.000
-0.994 0.000 6.720
K Tc W
2 4 2
Direct
0.000 0.000 0.000
0.500 0.500 0.000
0.217 0.000 0.629
0.499 0.000 0.506
0.717 0.500 0.629
0.999 0.500 0.506
0.288 0.500 0.379
0.788 0.000 0.379
```

## Properties
- Space-group type: Cm, No. 8
- Formation energy from the elements: 1020 meV/atom